AlCoS2N: relaxed, PBE-GGA.

Unit cell a=4.645 b=4.645 c=3.388 alpha=90.00 beta=90.00 gamma=90.00
Fractional positions:
Al (0.500, 0.500, 0.500)
N (0.000, 0.000, 0.500)
S (0.000, 0.500, 0.000)
S (0.500, 0.000, 0.000)
Co (0.000, 0.000, 0.000)

Properties
SG: P4/mmm (123)
E_form (uncorrected), meV per atom: 284
Electronic total energy, eV/f.u.: -26.010
Polymorph energy (0 for the lowest one), meV/atom: 0

=====

AlCoSe2N: relaxed, PBE-GGA.

Unit cell a=5.078 b=5.078 c=3.498 alpha=90.00 beta=90.00 gamma=90.00
Site moments in Bohr magnetons follow the coordinates.
Fractional positions:
Co (0.500, 0.500, 0.500)  2.24
Al (0.000, 0.000, 0.000)  -0.01
N (0.000, 0.000, 0.500)  0.51
Se (0.000, 0.500, 0.000)  0.11
Se (0.500, 0.000, 0.000)  0.11

Properties
SG: P4/mmm (123)
E_form (uncorrected), meV per atom: 628
Electronic total energy, eV/f.u.: -23.001
Polymorph energy (0 for the lowest one), meV/atom: 372

=====

One value per record, in order, for magnetization: 0.00, 3.34 μB per formula unit.